A plane-wave DFT calculation with PBE was carried out for crystalline Er2ScRe at its relaxed geometry.

Results
- SG: No. 166
- Formation energy from the elements: 726 meV per atom
- Density: 10060 kg/m³
- Total energy: -6.251 eV per atom

Unit cell a=11.148 b=11.148 c=11.148 alpha=16.14 beta=16.14 gamma=16.14
Atoms (fractional coordinates):
Er: 0.082 0.082 0.082
Er: 0.918 0.918 0.918
Sc: 0.500 0.500 0.500
Re: 0.000 0.000 0.000